1.
VASP calculation (PBE) on crystalline MnCo2Re at its relaxed geometry.

Values from the calculation:
energy above the lowest structure with this stoichiometry	0.0	meV/atom
final energy	-35.8	eV per formula unit
volume	11.70	A^3/atom
energy of formation	0.0125	eV per atom
density of states at the Fermi level	3.73	states/eV/f.u.

Unit cell a=3.582 b=3.582 c=3.646 alpha=90.00 beta=90.00 gamma=90.00
Sites, in units of the cell vectors:
Mn 0.000 0.000 0.000
Co 0.000 0.500 0.500
Co 0.500 0.000 0.500
Re 0.500 0.500 0.000

2.
VASP calculation (PBE) on crystalline NbReF3 at its relaxed geometry.

Values from the calculation:
energy above the lowest structure with this stoichiometry	377.0	meV/atom
final energy	-28.1	eV per formula unit
volume	15.45	A^3/atom
density of states at the Fermi level	4.02	states/eV/f.u.

Unit cell a=4.259 b=4.259 c=4.259 alpha=90.00 beta=90.00 gamma=90.00
Sites, in units of the cell vectors:
Nb 0.000 0.000 0.000
Re 0.500 0.500 0.500
F 0.000 0.500 0.500
F 0.500 0.000 0.500
F 0.500 0.500 0.000

3.
VASP calculation (PBE) on crystalline Nd3Sm6Dy at its relaxed geometry.

Values from the calculation:
energy above the lowest structure with this stoichiometry	0.0	meV/atom
final energy	-45.8	eV per formula unit
volume	34.28	A^3/atom
energy of formation	0.1401	eV per atom
density of states at the Fermi level	13.10	states/eV/f.u.

Unit cell a=11.083 b=11.083 c=6.478 alpha=90.00 beta=90.00 gamma=120.51
Sites, in units of the cell vectors:
Nd 0.114 0.886 0.500
Nd 0.209 0.441 0.885
Nd 0.441 0.209 0.385
Nd 0.559 0.791 0.885
Nd 0.791 0.559 0.385
Nd 0.886 0.114 0.000
Sm 0.026 0.443 0.291
Sm 0.127 0.213 0.478
Sm 0.213 0.127 0.978
Sm 0.225 0.775 0.073
Sm 0.443 0.026 0.791
Sm 0.465 0.535 0.283
Sm 0.535 0.465 0.783
Sm 0.557 0.974 0.291
Sm 0.775 0.225 0.573
Sm 0.787 0.873 0.478
Sm 0.873 0.787 0.978
Sm 0.974 0.557 0.791
Dy 0.308 0.692 0.539
Dy 0.692 0.308 0.039

4.
VASP calculation (PBE) on crystalline TmNbIn at its relaxed geometry.

Values from the calculation:
final energy	-17.8	eV per formula unit
volume	23.80	A^3/atom
energy of formation	-0.1680	eV per atom
density of states at the Fermi level	1.11	states/eV/f.u.

Unit cell a=4.195 b=4.195 c=8.114 alpha=90.00 beta=90.00 gamma=90.00
Sites, in units of the cell vectors:
Tm 0.250 0.250 0.163
Tm 0.750 0.750 0.837
Nb 0.250 0.750 0.500
Nb 0.750 0.250 0.500
In 0.250 0.250 0.762
In 0.750 0.750 0.238

5.
VASP calculation (PBE) on crystalline TiAg3Pd12 at its relaxed geometry.

Values from the calculation:
final energy	-81.6	eV per formula unit
volume	15.77	A^3/atom
energy of formation	-0.1762	eV per atom
density of states at the Fermi level	19.09	states/eV/f.u.

Unit cell a=3.981 b=3.981 c=15.916 alpha=90.00 beta=90.00 gamma=90.00
Sites, in units of the cell vectors:
Ti 0.000 0.000 0.000
Ag 0.000 0.000 0.248
Ag 0.000 0.000 0.500
Ag 0.000 0.000 0.752
Pd 0.000 0.500 0.118
Pd 0.000 0.500 0.374
Pd 0.000 0.500 0.626
Pd 0.000 0.500 0.882
Pd 0.500 0.000 0.118
Pd 0.500 0.000 0.374
Pd 0.500 0.000 0.626
Pd 0.500 0.000 0.882
Pd 0.500 0.500 0.000
Pd 0.500 0.500 0.247
Pd 0.500 0.500 0.500
Pd 0.500 0.500 0.753

6.
VASP calculation (PBE) on crystalline Ba2In2Cl at its relaxed geometry.

Values from the calculation:
final energy	-14.3	eV per formula unit
volume	40.49	A^3/atom
density of states at the Fermi level	3.22	states/eV/f.u.

Unit cell a=9.784 b=9.784 c=4.230 alpha=90.00 beta=90.00 gamma=90.00
Sites, in units of the cell vectors:
Ba 0.195 0.305 0.000
Ba 0.305 0.805 0.000
Ba 0.695 0.195 0.000
Ba 0.805 0.695 0.000
In 0.101 0.601 0.500
In 0.399 0.101 0.500
In 0.601 0.899 0.500
In 0.899 0.399 0.500
Cl 0.000 0.000 0.500
Cl 0.500 0.500 0.500

7.
VASP calculation (PBE) on crystalline Mn2AuBr at its relaxed geometry.

Values from the calculation:
energy above the lowest structure with this stoichiometry	306.0	meV/atom
final energy	-21.8	eV per formula unit
volume	20.26	A^3/atom
density of states at the Fermi level	2.39	states/eV/f.u.

Unit cell a=6.224 b=6.224 c=6.224 alpha=144.46 beta=144.46 gamma=51.14
Sites, in units of the cell vectors:
Mn 0.000 0.000 0.000
Mn 0.750 0.250 0.500
Au 0.250 0.750 0.500
Br 0.500 0.500 0.000

8.
VASP calculation (PBE) on crystalline BeFe2Re at its relaxed geometry.

Values from the calculation:
final energy	-32.9	eV per formula unit
volume	11.62	A^3/atom
energy of formation	0.0616	eV per atom
density of states at the Fermi level	4.23	states/eV/f.u.

Unit cell a=2.519 b=3.960 c=4.799 alpha=90.00 beta=103.81 gamma=90.00
Sites, in units of the cell vectors:
Be 0.000 0.000 0.000
Fe 0.241 0.500 0.764
Fe 0.759 0.500 0.236
Re 0.500 0.000 0.500

9.
VASP calculation (PBE) on crystalline AlNi2Bi at its relaxed geometry.

Values from the calculation:
energy above the lowest structure with this stoichiometry	0.0	meV/atom
final energy	-18.9	eV per formula unit
volume	15.75	A^3/atom
energy of formation	0.0636	eV per atom
density of states at the Fermi level	1.96	states/eV/f.u.

Unit cell a=4.466 b=4.466 c=4.466 alpha=60.00 beta=60.00 gamma=60.00
Sites, in units of the cell vectors:
Al 0.000 0.000 0.000
Ni 0.250 0.250 0.250
Ni 0.750 0.750 0.750
Bi 0.500 0.500 0.500

10.
VASP calculation (PBE) on crystalline YTh2Fe at its relaxed geometry.

Values from the calculation:
energy above the lowest structure with this stoichiometry	111.0	meV/atom
final energy	-29.6	eV per formula unit
volume	28.59	A^3/atom
energy of formation	0.0475	eV per atom
density of states at the Fermi level	6.10	states/eV/f.u.

Unit cell a=9.083 b=9.083 c=9.083 alpha=24.62 beta=24.62 gamma=24.62
Sites, in units of the cell vectors:
Y 0.000 0.000 0.000
Th 0.224 0.224 0.224
Th 0.443 0.443 0.443
Fe 0.836 0.836 0.836

11.
VASP calculation (PBE) on crystalline Cu2HgBr at its relaxed geometry.

Values from the calculation:
energy above the lowest structure with this stoichiometry	646.5	meV/atom
final energy	-7.6	eV per formula unit
volume	20.13	A^3/atom
density of states at the Fermi level	4.83	states/eV/f.u.

Unit cell a=4.847 b=4.847 c=4.847 alpha=60.00 beta=60.00 gamma=60.00
Sites, in units of the cell vectors:
Cu 0.000 0.000 0.000
Cu 0.250 0.250 0.250
Hg 0.750 0.750 0.750
Br 0.500 0.500 0.500

12.
VASP calculation (PBE) on crystalline Bi4Br at its relaxed geometry.

Values from the calculation:
final energy	-13.6	eV per formula unit
volume	36.60	A^3/atom
density of states at the Fermi level	6.14	states/eV/f.u.

Unit cell a=5.677 b=5.677 c=5.677 alpha=90.00 beta=90.00 gamma=90.00
Sites, in units of the cell vectors:
Bi 0.000 0.000 0.000
Bi 0.000 0.500 0.500
Bi 0.500 0.000 0.500
Bi 0.500 0.500 0.000
Br 0.500 0.500 0.500

13.
VASP calculation (PBE) on crystalline AlCu2Bi at its relaxed geometry.

Values from the calculation:
final energy	-14.7	eV per formula unit
volume	18.15	A^3/atom
energy of formation	0.2800	eV per atom
density of states at the Fermi level	0.68	states/eV/f.u.

Unit cell a=4.683 b=4.683 c=4.683 alpha=60.00 beta=60.00 gamma=60.00
Sites, in units of the cell vectors:
Al 0.000 0.000 0.000
Cu 0.250 0.250 0.250
Cu 0.750 0.750 0.750
Bi 0.500 0.500 0.500

14.
VASP calculation (PBE) on crystalline Tl3CdPb at its relaxed geometry.

Values from the calculation:
energy above the lowest structure with this stoichiometry	302.9	meV/atom
final energy	-10.0	eV per formula unit
volume	35.89	A^3/atom
energy of formation	0.3423	eV per atom
density of states at the Fermi level	6.50	states/eV/f.u.

Unit cell a=5.641 b=5.641 c=5.641 alpha=90.00 beta=90.00 gamma=90.00
Sites, in units of the cell vectors:
Tl 0.000 0.000 0.500
Tl 0.000 0.500 0.000
Tl 0.500 0.000 0.000
Cd 0.000 0.000 0.000
Pb 0.500 0.500 0.500

15.
VASP calculation (PBE) on crystalline CePm2Tl3Se6 at its relaxed geometry.

Values from the calculation:
final energy	-59.8	eV per formula unit
volume	31.23	A^3/atom
density of states at the Fermi level	5.91	states/eV/f.u.

Unit cell a=7.475 b=7.475 c=8.136 alpha=98.81 beta=98.81 gamma=119.99
Sites, in units of the cell vectors:
Ce 0.000 0.000 0.000
Pm 0.333 0.667 0.000
Pm 0.667 0.333 0.000
Tl 0.167 0.833 0.500
Tl 0.500 0.500 0.500
Tl 0.833 0.167 0.500
Se 0.070 0.405 0.209
Se 0.265 0.265 0.791
Se 0.405 0.070 0.209
Se 0.595 0.930 0.791
Se 0.735 0.735 0.209
Se 0.930 0.595 0.791

16.
VASP calculation (PBE) on crystalline Ru2BrCl at its relaxed geometry.

Values from the calculation:
energy above the lowest structure with this stoichiometry	879.8	meV/atom
final energy	-17.8	eV per formula unit
volume	17.84	A^3/atom
density of states at the Fermi level	5.38	states/eV/f.u.

Unit cell a=5.885 b=5.885 c=5.885 alpha=143.59 beta=143.59 gamma=52.44
Sites, in units of the cell vectors:
Ru 0.000 0.000 0.000
Ru 0.750 0.250 0.500
Br 0.250 0.750 0.500
Cl 0.500 0.500 0.000

17.
VASP calculation (PBE) on crystalline Pm6TlTe8 at its relaxed geometry.

Values from the calculation:
final energy	-74.9	eV per formula unit
volume	37.99	A^3/atom
density of states at the Fermi level	12.68	states/eV/f.u.

Unit cell a=12.073 b=12.073 c=4.515 alpha=90.00 beta=90.00 gamma=120.00
Sites, in units of the cell vectors:
Pm 0.136 0.484 0.250
Pm 0.348 0.864 0.250
Pm 0.484 0.348 0.750
Pm 0.516 0.652 0.250
Pm 0.652 0.136 0.750
Pm 0.864 0.516 0.750
Tl 0.000 0.000 0.500
Te 0.047 0.693 0.252
Te 0.307 0.355 0.252
Te 0.333 0.667 0.750
Te 0.355 0.047 0.748
Te 0.645 0.953 0.252
Te 0.667 0.333 0.250
Te 0.693 0.645 0.748
Te 0.953 0.307 0.748

18.
VASP calculation (PBE) on crystalline Pr6As5I at its relaxed geometry.

Values from the calculation:
final energy	-71.0	eV per formula unit
volume	29.15	A^3/atom
density of states at the Fermi level	2.93	states/eV/f.u.

Unit cell a=7.544 b=7.544 c=7.521 alpha=99.67 beta=99.67 gamma=119.86
Sites, in units of the cell vectors:
Pr 0.056 0.412 0.738
Pr 0.232 0.232 0.261
Pr 0.412 0.056 0.738
Pr 0.588 0.944 0.262
Pr 0.768 0.768 0.739
Pr 0.944 0.588 0.262
As 0.000 0.000 0.500
As 0.168 0.832 0.000
As 0.340 0.660 0.500
As 0.660 0.340 0.500
As 0.832 0.168 0.000
I 0.500 0.500 0.000

19.
VASP calculation (PBE) on crystalline AlCdRe2 at its relaxed geometry.

Values from the calculation:
energy above the lowest structure with this stoichiometry	243.1	meV/atom
final energy	-28.1	eV per formula unit
volume	16.15	A^3/atom
energy of formation	0.3547	eV per atom
density of states at the Fermi level	3.03	states/eV/f.u.

Unit cell a=4.764 b=4.764 c=5.042 alpha=97.77 beta=97.77 gamma=34.77
Sites, in units of the cell vectors:
Al 0.000 0.000 0.000
Cd 0.241 0.241 0.759
Re 0.485 0.485 0.460
Re 0.743 0.743 0.261

20.
VASP calculation (PBE) on crystalline Sm3ErSn at its relaxed geometry.

Values from the calculation:
final energy	-23.9	eV per formula unit
volume	30.33	A^3/atom
energy of formation	-0.2402	eV per atom
density of states at the Fermi level	5.30	states/eV/f.u.

Unit cell a=5.678 b=6.713 c=8.448 alpha=90.00 beta=109.63 gamma=90.00
Sites, in units of the cell vectors:
Sm 0.085 0.250 0.170
Sm 0.310 0.503 0.620
Sm 0.310 0.997 0.620
Sm 0.690 0.003 0.380
Sm 0.690 0.497 0.380
Sm 0.915 0.750 0.830
Er 0.486 0.250 0.971
Er 0.514 0.750 0.029
Sn 0.124 0.750 0.249
Sn 0.876 0.250 0.751